Entry 1:
PBE Zr2AlHW, optimized geometry; spin magnetization = 0.0 μB per formula unit; D(E_F) = 1.6 states/eV per cell; symmetry = No. 123; E = -7.652 eV/atom
1.0
4.6154 0.0000 0.0000
0.0000 4.6154 0.0000
0.0000 0.0000 3.7146
W Zr Al H
1 2 1 1
Cartesian
0.0000 0.0000 1.8573
2.3077 0.0000 0.0000
0.0000 2.3077 0.0000
2.3077 2.3077 1.8573
0.0000 0.0000 0.0000

=====

Entry 2:
PBE Y2AlH, optimized geometry; spin magnetization = 0.0 μB per formula unit; D(E_F) = 2.6 states/eV per cell; symmetry = No. 225; E = -5.021 eV/atom
1.0
0.0000 3.5224 3.5224
3.5224 0.0000 3.5224
3.5224 3.5224 0.0000
Y H Al
2 1 1
Cartesian
5.2836 5.2836 5.2836
1.7612 1.7612 1.7612
0.0000 0.0000 0.0000
3.5224 3.5224 3.5224

=====

Entry 3:
PBE YAlH2, optimized geometry; spin magnetization = 0.0 μB per formula unit; D(E_F) = 0.7 states/eV per cell; symmetry = No. 225; E = -4.210 eV/atom
1.0
0.0000 2.9199 2.9199
2.9199 0.0000 2.9199
2.9199 2.9199 0.0000
Y H Al
1 2 1
Cartesian
2.9199 2.9199 2.9199
1.4600 1.4600 1.4600
4.3799 4.3799 4.3799
0.0000 0.0000 0.0000

=====

Entry 4:
PBE YAlH6, optimized geometry; spin magnetization = 0.0 μB per formula unit; D(E_F) = 0.0 states/eV per cell; symmetry = No. 14; E = -3.989 eV/atom
1.0
-2.3507 -1.8178 -3.1795
-1.7347 -2.7975 2.8819
-6.3053 3.7853 -0.1208
Al H Y
2 12 2
Cartesian
-4.0200 0.4939 1.3805
-1.1753 -0.9089 -1.5897
-7.9995 0.5705 0.0741
-4.5716 -1.3367 -1.9126
-6.3817 0.1273 -2.7032
-4.0089 -0.9573 2.2847
-4.1977 -0.4386 0.0179
-6.1929 -0.3914 -0.4364
-5.8190 0.5067 1.4941
-2.5492 -2.4787 2.3506
-6.3001 1.8661 -0.7966
-4.0906 -2.6961 0.3781
-7.8414 1.6487 -2.7691
-2.3911 -1.4005 -0.4926
-4.3280 0.9838 -1.6502
-0.8673 -1.3988 1.4409

=====

Entry 5:
PBE YAl2H, optimized geometry; spin magnetization = 0.0 μB per formula unit; D(E_F) = 5.3 states/eV per cell; symmetry = No. 227; E = -4.463 eV/atom
1.0
5.7338 0.0000 0.0000
0.0000 5.7338 0.0000
2.8669 2.8669 4.0534
Al H Y
4 2 2
Cartesian
7.1673 5.7339 3.0400
2.8670 1.4335 1.0133
4.3004 5.7337 3.0400
2.8668 4.3004 1.0133
2.8669 5.7338 2.0267
2.8669 2.8669 0.0000
5.7338 2.8669 2.0267
0.0000 0.0000 0.0000

=====

Entry 6:
PBE YAlH, optimized geometry; spin magnetization = 0.0 μB per formula unit; D(E_F) = 8.1 states/eV per cell; symmetry = No. 1; E = -4.908 eV/atom
1.0
-1.6928 3.9665 1.3867
-5.9882 -2.8611 0.8973
-0.0329 0.1749 14.0754
H Y Al
8 8 8
Cartesian
-1.5414 1.0551 5.3595
-3.2044 1.4642 11.3212
-5.8867 -0.2252 9.8284
-3.9018 -0.1938 7.8813
-1.1242 0.9296 12.2534
-5.9616 -0.3231 2.5381
-2.5546 2.5750 1.5559
-3.2916 1.9648 3.9590
-4.5330 1.5034 9.4865
-1.1513 2.4615 3.5736
-6.0863 -1.0704 7.7808
-4.5388 1.4701 2.1599
-3.7700 0.5820 5.7070
-1.1273 1.2971 14.3638
-2.2323 -0.7975 11.4937
-1.3128 2.4400 10.6510
-4.8294 -1.6087 10.3740
-1.9707 0.3330 8.4992
-6.5360 1.6063 6.8347
-6.8738 1.3971 14.1708
-2.7666 3.1079 7.2159
-4.5386 0.0114 13.5365
-4.6004 -1.4808 3.0229
-2.2254 -0.3828 3.1226

=====

Entry 7:
PBE YAlH, optimized geometry; spin magnetization = 0.2 μB per formula unit; D(E_F) = 2.1 states/eV per cell; symmetry = No. 107; E = -4.574 eV/atom
1.0
-1.7603 -2.1984 1.3255
2.2301 -2.1056 -0.5305
2.0303 3.3095 4.5306
Y Al H
1 1 1
Cartesian
1.2520 -1.6322 2.6102
0.0387 0.0198 0.0842
1.2094 0.6180 2.6312

=====

Entry 8:
PBE Y6Al3H, optimized geometry; spin magnetization = 0.0 μB per formula unit; D(E_F) = 19.0 states/eV per cell; symmetry = No. 36; E = -5.490 eV/atom
1.0
-6.1650 -4.0943 -2.5088
4.6283 -6.9581 -0.0176
-3.2238 0.1305 7.7089
Y Al H
12 6 2
Cartesian
-0.3133 -5.7079 4.3163
-1.7360 -3.5274 6.6779
-0.7788 -3.4447 1.7669
-3.8214 -7.3708 3.4808
-3.6394 -0.6296 7.1100
1.2648 -6.4658 1.0336
-1.1374 -8.8977 1.8013
-1.6363 -6.4726 -0.9306
-6.1902 -4.5656 4.0818
-2.2349 -1.1023 3.9460
0.5122 -9.2076 -1.2629
-4.2870 -5.1076 0.9313
-2.3406 -9.0031 -2.3238
-5.0598 -1.7183 4.6395
-1.9870 -10.7220 -0.3875
-4.7062 -3.4372 6.5759
-3.9458 -8.3655 0.2988
-3.2435 -4.1695 3.8953
-1.8927 -1.4358 6.0754
-0.2508 -7.7481 0.1720

=====

Entry 9:
PBE Y2AlH, optimized geometry; spin magnetization = 0.0 μB per formula unit; D(E_F) = 5.7 states/eV per cell; symmetry = No. 122; E = -5.296 eV/atom
1.0
-2.2772 1.6139 -6.2260
5.5530 -2.8393 -2.7670
-0.0872 -3.7970 -4.6910
Y Al H
4 2 2
Cartesian
-0.5441 -0.4420 -4.8445
2.2967 -3.6621 -11.1359
2.9574 -2.3755 -4.2458
1.6673 -3.5651 -7.1419
0.0000 0.0000 0.0000
-0.3632 -1.3979 -7.7068
3.5519 -3.6245 -5.9773
1.6379 -0.6127 -4.4965

=====

Entry 10:
PBE Y2AlH, optimized geometry; spin magnetization = 0.0 μB per formula unit; D(E_F) = 3.0 states/eV per cell; symmetry = No. 166; E = -5.273 eV/atom
1.0
3.5929 0.0000 0.0000
1.7965 3.1116 0.0000
1.7965 1.0372 7.3562
Y H Al
2 1 1
Cartesian
1.7965 1.0372 1.4092
5.3894 3.1116 5.9470
0.0000 0.0000 0.0000
3.5929 2.0744 3.6781

=====

Entry 11:
PBE YAlH2, optimized geometry; spin magnetization = 0.0 μB per formula unit; D(E_F) = 1.6 states/eV per cell; symmetry = No. 122; E = -4.380 eV/atom
1.0
4.5167 0.0000 0.0000
0.0000 4.5167 0.0000
2.2584 2.2584 5.1757
H Y Al
4 2 2
Cartesian
3.3876 3.5831 3.8818
3.1920 1.1292 1.2939
5.6459 5.4504 3.8818
1.3247 3.3876 1.2939
4.5167 2.2584 2.5879
0.0000 0.0000 0.0000
2.2584 2.2584 0.0000
2.2584 4.5167 2.5879

=====

Entry 12:
PBE Y3AlH, optimized geometry; spin magnetization = 1.4 μB per formula unit; D(E_F) = 4.2 states/eV per cell; symmetry = No. 221; E = -5.593 eV/atom
1.0
-4.0222 -2.5830 0.2593
2.0658 -3.4743 -2.5650
1.5722 -2.0432 4.0337
Al H Y
1 1 3
Cartesian
-0.1921 -4.0502 0.8640
0.0000 0.0000 0.0000
-2.0111 -1.2915 0.1297
0.7861 -1.0216 2.0168
1.0329 -1.7371 -1.2825

=====

Question: What is the E in the twelfth record?
Answer: -5.593 eV/atom

=====

Question: What is the E in the seventh record?
Answer: -4.574 eV/atom

=====

Question: Look up the spin magnetization of the seventh one.
Answer: 0.2 μB per formula unit

=====

Copy entry 7 word for word.
PBE YAlH, optimized geometry; spin magnetization = 0.2 μB per formula unit; D(E_F) = 2.1 states/eV per cell; symmetry = No. 107; E = -4.574 eV/atom
1.0
-1.7603 -2.1984 1.3255
2.2301 -2.1056 -0.5305
2.0303 3.3095 4.5306
Y Al H
1 1 1
Cartesian
1.2520 -1.6322 2.6102
0.0387 0.0198 0.0842
1.2094 0.6180 2.6312